Computed, not measured: crystalline MgAgTeO at its relaxed geometry at the PBE level of DFT.

```
MgAgTeO
1.0
5.981 0.000 0.000
0.000 6.494 0.000
0.000 0.000 8.234
Mg Ag Te O
4 4 4 4
Direct
0.061 0.016 0.265
0.439 0.984 0.765
0.561 0.484 0.735
0.939 0.516 0.235
0.059 0.316 0.617
0.441 0.684 0.117
0.559 0.184 0.383
0.941 0.816 0.883
0.071 0.757 0.562
0.429 0.243 0.062
0.571 0.743 0.438
0.929 0.257 0.938
0.056 0.764 0.145
0.444 0.236 0.645
0.556 0.736 0.855
0.944 0.264 0.355
```

**Crystal system**: orthorhombic
**E above lowest polymorph**: 258 meV per atom


Computed, not measured: crystalline Zr3SiP at its relaxed geometry at the PBE level of DFT.

```
Zr3SiP
1.0
1.857 -5.744 0.000
1.857 5.744 0.000
0.000 0.000 9.312
Zr Si P
6 2 2
Direct
0.074 0.926 0.750
0.355 0.645 0.564
0.355 0.645 0.936
0.645 0.355 0.064
0.645 0.355 0.436
0.926 0.074 0.250
0.254 0.746 0.250
0.746 0.254 0.750
0.000 0.000 0.000
0.000 0.000 0.500
```

**Total DFT energy (no corrections)**: -41.19 eV per formula unit
**Crystal system**: orthorhombic


Computed, not measured: crystalline PrGeAs3Pt6 at its relaxed geometry at the PBE level of DFT.

```
PrGeAs3Pt6
1.0
7.334 0.000 0.000
-3.667 6.351 0.000
0.000 0.000 4.214
Pr Ge As Pt
1 1 3 6
Direct
0.000 0.000 0.000
0.333 0.667 0.000
0.387 0.194 0.500
0.806 0.194 0.500
0.806 0.613 0.500
0.195 0.389 0.500
0.195 0.805 0.500
0.532 0.064 0.000
0.532 0.468 0.000
0.611 0.805 0.500
0.936 0.468 0.000
```

**Total DFT energy (no corrections)**: -65.15 eV per formula unit
**Crystal system**: hexagonal


Computed, not measured: crystalline NbTcAsAu at its relaxed geometry at the PBE level of DFT.

```
NbTcAsAu
1.0
0.000 3.241 3.241
3.241 0.000 3.241
3.241 3.241 0.000
Nb Tc As Au
1 1 1 1
Direct
0.000 0.000 0.000
0.250 0.250 0.250
0.500 0.500 0.500
0.750 0.750 0.750
```

**Crystal system**: cubic
**E above lowest polymorph**: 268 meV per atom